The following is a GGA+U calculation of crystalline NaMo2RuO8 at its relaxed geometry, from the Alexandria database.

Output
The total energy is -81.77 eV per cell.

CIF file:
```
data_NaMo2RuO8
_cell_length_a 5.7906
_cell_length_b 5.7906
_cell_length_c 6.4379
_cell_angle_alpha 90.00
_cell_angle_beta 90.00
_cell_angle_gamma 120.00
_symmetry_space_group_name_H-M 'P 1'
_symmetry_Int_Tables_number 1
_symmetry_space_group_name_Hall 'P 1'
loop_
_atom_site_label
_atom_site_type_symbol
_atom_site_fract_x
_atom_site_fract_y
_atom_site_fract_z
Na1 Na 0.0000 0.0000 0.0000
Mo1 Mo 0.3333 0.6667 0.2295
Mo2 Mo 0.6667 0.3333 0.7705
Ru1 Ru 0.0000 0.0000 0.5000
O1 O 0.1601 0.3203 0.3149
O2 O 0.1601 0.8399 0.3149
O3 O 0.3203 0.1601 0.6851
O4 O 0.3333 0.6667 0.9578
O5 O 0.6667 0.3333 0.0422
O6 O 0.6797 0.8399 0.3149
O7 O 0.8399 0.1601 0.6851
O8 O 0.8399 0.6797 0.6851
```

The following is a GGA+U calculation of crystalline Na2MoRuO6 at its relaxed geometry, from the Alexandria database.

Output
The total energy is -63.45 eV per cell.

CIF file:
```
data_Na2MoRuO6
_cell_length_a 5.5220
_cell_length_b 5.5220
_cell_length_c 3.8868
_cell_angle_alpha 90.00
_cell_angle_beta 90.00
_cell_angle_gamma 90.00
_symmetry_space_group_name_H-M 'P 1'
_symmetry_Int_Tables_number 1
_symmetry_space_group_name_Hall 'P 1'
loop_
_atom_site_label
_atom_site_type_symbol
_atom_site_fract_x
_atom_site_fract_y
_atom_site_fract_z
Na1 Na 0.0000 0.5000 0.0000
Na2 Na 0.5000 0.0000 0.0000
Mo1 Mo 0.0000 0.0000 0.5000
Ru1 Ru 0.5000 0.5000 0.5000
O1 O 0.0000 0.0000 0.0000
O2 O 0.2459 0.2459 0.5000
O3 O 0.2459 0.7541 0.5000
O4 O 0.5000 0.5000 0.0000
O5 O 0.7541 0.2459 0.5000
O6 O 0.7541 0.7541 0.5000
```

The following is a GGA+U calculation of crystalline NaMoS2O8 at its relaxed geometry, from the Alexandria database.

Output
The total energy is -75.05 eV per cell.

CIF file:
```
data_NaMoS2O8
_cell_length_a 4.9370
_cell_length_b 4.9370
_cell_length_c 7.8447
_cell_angle_alpha 90.00
_cell_angle_beta 90.00
_cell_angle_gamma 120.00
_symmetry_space_group_name_H-M 'P 1'
_symmetry_Int_Tables_number 1
_symmetry_space_group_name_Hall 'P 1'
loop_
_atom_site_label
_atom_site_type_symbol
_atom_site_fract_x
_atom_site_fract_y
_atom_site_fract_z
Na1 Na 0.0000 0.0000 0.0000
Mo1 Mo 0.0000 0.0000 0.5000
S1 S 0.3333 0.6667 0.7378
S2 S 0.6667 0.3333 0.2622
O1 O 0.0659 0.3657 0.6723
O2 O 0.2998 0.9341 0.6723
O3 O 0.3333 0.6667 0.9233
O4 O 0.3657 0.2998 0.3277
O5 O 0.6343 0.7002 0.6723
O6 O 0.6667 0.3333 0.0767
O7 O 0.7002 0.0659 0.3277
O8 O 0.9341 0.6343 0.3277
```

The following is a GGA+U calculation of crystalline NaSb2MoO8 at its relaxed geometry, from the Alexandria database.

Output
The total energy is -73.99 eV per cell.

CIF file:
```
data_NaSb2MoO8
_cell_length_a 4.8475
_cell_length_b 6.2953
_cell_length_c 4.8530
_cell_angle_alpha 90.00
_cell_angle_beta 92.01
_cell_angle_gamma 90.00
_symmetry_space_group_name_H-M 'P 1'
_symmetry_Int_Tables_number 1
_symmetry_space_group_name_Hall 'P 1'
loop_
_atom_site_label
_atom_site_type_symbol
_atom_site_fract_x
_atom_site_fract_y
_atom_site_fract_z
Na1 Na 0.0000 0.0000 0.0000
Sb1 Sb 0.5000 0.2462 0.5000
Sb2 Sb 0.5000 0.7538 0.5000
Mo1 Mo 0.0000 0.5000 0.0000
O1 O 0.2077 0.2827 0.2063
O2 O 0.2077 0.7173 0.2063
O3 O 0.3045 0.5000 0.6941
O4 O 0.3170 0.0000 0.6814
O5 O 0.6830 0.0000 0.3186
O6 O 0.6955 0.5000 0.3059
O7 O 0.7923 0.2827 0.7937
O8 O 0.7923 0.7173 0.7937
```